VASP calculation (PBE-GGA) on a relaxed structure of LiZnTc2.

The structure belongs to space group Cm (No. 8); the cell edges are 8.634, 2.675 and 4.928 Å and the angles 90.00°, 95.50° and 90.00°. The asymmetric unit holds Li at (0.000, 0.000, 0.000), Zn at (0.251, 0.500, 0.200), Tc at (0.244, 0.000, 0.705) and Tc at (0.487, 0.000, 0.505).

For the formation energy, the calculation gives 0.104 eV/atom. For the volume, the calculation gives 113 Å³/cell. As for the mass density: 7.87 g cm⁻³.


VASP calculation (PBE-GGA) on a relaxed structure of LiZn4Tc.

The structure belongs to space group F-43m (No. 216); the cell edges are 7.070, 7.070 and 7.070 Å and the angles 90.00°, 90.00° and 90.00°. The asymmetric unit holds Li at (0.000, 0.000, 0.000), Zn at (0.124, 0.124, 0.376) and Tc at (0.250, 0.250, 0.750).

For the formation energy, the calculation gives 0.116 eV/atom. For the volume, the calculation gives 353 Å³/cell. As for the mass density: 6.89 g cm⁻³.


VASP calculation (PBE-GGA) on a relaxed structure of LiZnTc2.

The structure belongs to space group C2/m (No. 12); the cell edges are 9.496, 2.685 and 4.564 Å and the angles 90.00°, 100.09° and 90.00°. The asymmetric unit holds Li at (0.000, 0.000, 0.000), Zn at (0.000, 0.500, 0.500) and Tc at (0.237, 0.000, 0.747).

For the formation energy, the calculation gives 0.172 eV/atom. For the volume, the calculation gives 115 Å³/cell. As for the mass density: 7.78 g cm⁻³.